This record from Alexandria via LeMat-Bulk describes a relaxed ScCo2PdCl crystal. The functional is PBE.

Cell lengths 4.647, 5.074, 4.647 Å; angles 90.00, 90.00, 90.00 degrees
Site moments in Bohr magnetons follow the coordinates.
Element x y z (fractional)
Cl1 0.500 0.500 0.500  0.04
Pd1 0.000 0.000 0.000  0.23
Sc1 0.000 0.500 0.000  -0.22
Co1 0.500 0.000 0.000  1.74
Co2 0.000 0.000 0.500  2.47

Calculated volume   21.92 A^3/atom
E_tot   -24.59 eV for the cell shown
SG   No. 123
Uncorrected formation energy   599 meV/atom
Magnetization   4.1 μB per formula unit


This record from Alexandria via LeMat-Bulk describes a relaxed CrHSe2 crystal. The functional is PBE.

Cell lengths 6.864, 8.869, 5.286 Å; angles 90.00, 90.00, 90.00 degrees
Site moments in Bohr magnetons follow the coordinates.
Element x y z (fractional)
Cr1 0.902 0.149 0.562  3.12
Cr2 0.598 0.649 0.062  3.13
Se1 0.077 0.893 0.562  -0.12
Se2 0.923 0.107 0.062  -0.12
H1 0.229 0.476 0.063  0.01
Se3 0.944 0.611 0.063  -0.24
Se4 0.577 0.607 0.562  -0.12
H2 0.729 0.024 0.063  0.02
Cr3 0.402 0.351 0.562  3.13
H3 0.771 0.524 0.563  0.01
H4 0.271 0.976 0.563  0.02
Se5 0.423 0.393 0.062  -0.12
Se6 0.444 0.889 0.063  -0.24
Cr4 0.098 0.851 0.062  3.12
Se7 0.056 0.389 0.563  -0.24
Se8 0.556 0.111 0.563  -0.24

Calculated volume   20.11 A^3/atom
E_tot   -81.56 eV for the cell shown
SG   No. 62
Magnetization   3.0 μB per formula unit


This record from Alexandria via LeMat-Bulk describes a relaxed Er2TmCu3 crystal. The functional is PBE.

Cell lengths 3.421, 3.421, 10.327 Å; angles 90.00, 90.00, 90.00 degrees
Element x y z (fractional)
Cu1 0.000 0.000 0.000
Tm1 0.500 0.500 0.500
Cu2 0.000 0.000 0.665
Cu3 0.000 0.000 0.335
Er1 0.500 0.500 0.833
Er2 0.500 0.500 0.167

ΔH_f (0 K)   -0.286 eV/atom
Calculated volume   20.15 A^3/atom
E_tot   -27.60 eV for the cell shown
SG   No. 123
Magnetization   0.0 μB per formula unit


This record from Alexandria via LeMat-Bulk describes a relaxed BaLaTeN2 crystal. The functional is PBE.

Cell lengths 4.648, 4.648, 6.499 Å; angles 90.00, 90.00, 90.00 degrees
Element x y z (fractional)
Te1 0.000 0.000 0.500
N1 0.500 0.000 0.000
La1 0.000 0.000 0.000
Ba1 0.500 0.500 0.500
N2 0.000 0.500 0.000

Calculated volume   28.08 A^3/atom
E_tot   -27.00 eV for the cell shown
SG   No. 123
Uncorrected formation energy   -71 meV/atom
Magnetization   0.0 μB per formula unit


This record from Alexandria via LeMat-Bulk describes a relaxed AgOs3 crystal. The functional is PBE.

Cell lengths 4.811, 9.055, 5.504 Å; angles 90.00, 90.00, 90.00 degrees
Element x y z (fractional)
Os1 0.424 0.250 0.640
Os2 0.239 0.490 0.881
Os3 0.761 0.510 0.119
Ag1 0.921 0.250 0.363
Ag2 0.579 0.750 0.863
Os4 0.261 0.510 0.381
Os5 0.924 0.250 0.860
Os6 0.261 0.990 0.381
Os7 0.239 0.010 0.881
Os8 0.761 0.990 0.119
Os9 0.739 0.490 0.619
Os10 0.739 0.010 0.619
Os11 0.076 0.750 0.140
Ag3 0.421 0.250 0.137
Os12 0.576 0.750 0.360
Ag4 0.079 0.750 0.637

ΔH_f (0 K)   0.577 eV/atom
Calculated volume   14.99 A^3/atom
E_tot   -136.92 eV for the cell shown
SG   No. 62
Magnetization   0.0 μB per formula unit


This record from Alexandria via LeMat-Bulk describes a relaxed BaAl2Au2 crystal. The functional is PBE.

Cell lengths 8.417, 8.417, 3.205 Å; angles 90.00, 90.00, 90.00 degrees
Element x y z (fractional)
Au1 0.867 0.633 0.000
Au2 0.367 0.867 0.000
Al1 0.362 0.138 0.500
Ba1 0.500 0.500 0.000
Al2 0.862 0.362 0.500
Au3 0.133 0.367 0.000
Al3 0.638 0.862 0.500
Au4 0.633 0.133 0.000
Ba2 0.000 0.000 0.000
Al4 0.138 0.638 0.500

ΔH_f (0 K)   -0.189 eV/atom
Calculated volume   22.71 A^3/atom
E_tot   -33.81 eV for the cell shown
SG   No. 127
Magnetization   0.0 μB per formula unit


This record from Alexandria via LeMat-Bulk describes a relaxed SrCa2Rh crystal. The functional is PBE.

Cell lengths 3.656, 3.651, 10.386 Å; angles 69.39, 90.00, 90.00 degrees
Element x y z (fractional)
Ca1 0.000 0.985 0.015
Ca2 0.500 0.173 0.328
Rh1 0.000 0.516 0.485
Sr1 0.500 0.827 0.673

ΔH_f (0 K)   -0.136 eV/atom
Calculated volume   32.44 A^3/atom
E_tot   -13.58 eV for the cell shown
SG   No. 99
Magnetization   0.0 μB per formula unit


This record from Alexandria via LeMat-Bulk describes a relaxed CsHSeBr2 crystal. The functional is PBE.

Cell lengths 6.116, 6.116, 3.708 Å; angles 90.00, 90.00, 90.00 degrees
Site moments in Bohr magnetons follow the coordinates.
Element x y z (fractional)
Se1 0.000 0.000 0.500  0.65
Br1 0.000 0.500 0.000  0.21
H1 0.000 0.000 0.000  0.00
Cs1 0.500 0.500 0.500  0.00
Br2 0.500 0.000 0.000  0.21

Calculated volume   27.75 A^3/atom
E_tot   -12.39 eV for the cell shown
SG   No. 123
Magnetization   1.6 μB per formula unit